(1)
Compound: KTlInHg2
Source: Alexandria
Functional: PBE
Structure: optimized geometry

Space-group type: P4/mmm, No. 123
Formation energy from the elements: 0.010 eV/atom

abc: 5.657 5.657 6.011
angles: 90.00 90.00 90.00
Element x y z (fractional)
K1 0.000 0.000 0.000
Tl1 0.500 0.500 0.000
In1 0.500 0.500 0.500
Hg1 0.000 0.500 0.500
Hg2 0.500 0.000 0.500

---

(2)
Compound: MgOsIN2
Source: Alexandria
Functional: PBE
Structure: optimized geometry

Space-group type: P4/mmm, No. 123
Formation energy (no corrections): 639 meV per atom

abc: 3.896 3.896 5.925
angles: 90.00 90.00 90.00
Element x y z (fractional)
Mg1 0.000 0.000 0.000
Os1 0.500 0.500 0.500
I1 0.500 0.500 0.000
N1 0.000 0.500 0.500
N2 0.500 0.000 0.500

---

(3)
Compound: B5C7
Source: Alexandria
Functional: PBE
Structure: optimized geometry

Space-group type: Cm, No. 8
Formation energy from the elements: 0.386 eV/atom

abc: 6.884 6.884 4.749
angles: 107.97 107.97 21.49
Element x y z (fractional)
B1 0.000 0.000 0.000
B2 0.148 0.148 0.213
B3 0.351 0.351 0.029
B4 0.500 0.500 0.232
B5 0.855 0.855 0.536
C1 0.189 0.189 0.578
C2 0.305 0.305 0.673
C3 0.528 0.528 0.574
C4 0.648 0.648 0.702
C5 0.691 0.691 0.052
C6 0.807 0.807 0.171
C7 0.982 0.982 0.668

---

What Fermi-level density of states values result from the calculations? In sequence: 2.3, 4.1, 1.7 states/eV/f.u..
What distance to the lowest polymorph of the same formula values result from the calculations? In sequence: 144, 0, 128 meV per atom.